Record 1
# Ti2Ge2Pb (GGA-PBE, optimized geometry)
# - Total magnetization: 0.00 Bohr magnetons per cell
# - Fermi-level density of states: 0.97 states/eV per atom
# - Energy above the most stable polymorph in this dataset: 0.005 eV per atom
# - DFT total energy: -5.89 eV per atom
data_Ti2Ge2Pb
_chemical_formula_sum 'Ti4 Ge4 Pb2'
_symmetry_space_group_name_H-M 'P 4/m b m'
_symmetry_Int_Tables_number 127
_symmetry_space_group_name_Hall '-P 4 2ab'
_cell_length_a 7.291
_cell_length_b 7.291
_cell_length_c 3.560
_cell_angle_alpha 90.00
_cell_angle_beta 90.00
_cell_angle_gamma 90.00
loop_
_atom_site_label
_atom_site_type_symbol
_atom_site_fract_x
_atom_site_fract_y
_atom_site_fract_z
_atom_site_occupancy
Ti1 Ti 0.141 0.359 0.000 1
Ge1 Ge 0.155 0.655 0.500 1
Pb1 Pb 0.000 0.000 0.000 1

Record 2
# AuBr2Cl (GGA-PBE, optimized geometry)
# - ΔE_f (raw): 104 meV per atom
# - Total magnetization: 0.00 Bohr magnetons per cell
# - Fermi-level density of states: 0.37 states/eV per atom
# - Energy above the most stable polymorph in this dataset: 0.279 eV per atom
# - DFT total energy: -2.01 eV per atom
data_AuBr2Cl
_chemical_formula_sum 'Au3 Br6 Cl3'
_symmetry_space_group_name_H-M 'R -3 m'
_symmetry_Int_Tables_number 166
_symmetry_space_group_name_Hall '-R 3 2"'
_cell_length_a 4.1750
_cell_length_b 4.1750
_cell_length_c 24.1430
_cell_angle_alpha 90.00
_cell_angle_beta 90.00
_cell_angle_gamma 120.00
loop_
_atom_site_label
_atom_site_type_symbol
_atom_site_fract_x
_atom_site_fract_y
_atom_site_fract_z
_atom_site_occupancy
Au1 Au 0.0000 0.0000 0.0000 1
Br1 Br 0.0000 0.0000 0.3957 1
Cl1 Cl 0.0000 0.0000 0.5000 1

Record 3
# TiMnPOsS (GGA-PBE, optimized geometry)
# - ΔE_f (raw): -328 meV per atom
# - Total magnetization: 0.00 Bohr magnetons per cell
# - Fermi-level density of states: 0.61 states/eV per atom
# - Energy above the most stable polymorph in this dataset: 0.203 eV per atom
# - DFT total energy: -7.89 eV per atom
data_TiMnPOsS
_chemical_formula_sum 'Ti1 Mn1 P1 Os1 S1'
_symmetry_space_group_name_H-M 'P 1'
_symmetry_Int_Tables_number 1
_cell_length_a 3.568
_cell_length_b 4.266
_cell_length_c 4.940
_cell_angle_alpha 90.79
_cell_angle_beta 103.13
_cell_angle_gamma 107.35
loop_
_symmetry_equiv_pos_as_xyz
'x,y,z'
loop_
_atom_site_label
_atom_site_type_symbol
_atom_site_fract_x
_atom_site_fract_y
_atom_site_fract_z
_atom_site_occupancy
Ti1 Ti 0.000 0.000 0.000 1
Mn1 Mn 0.843 0.448 0.236 1
P1 P 0.906 0.983 0.491 1
Os1 Os 0.550 0.361 0.649 1
S1 S 0.330 0.590 0.002 1

Record 4
# Tm12MnIn3 (GGA-PBE, optimized geometry)
# - Total magnetization: 2.36 Bohr magnetons per cell
# - Fermi-level density of states: 1.10 states/eV per atom
# - DFT total energy: -4.58 eV per atom
data_Tm12MnIn3
_chemical_formula_sum 'Tm12 Mn1 In3'
_symmetry_space_group_name_H-M 'P 4/m m m'
_symmetry_Int_Tables_number 123
_symmetry_space_group_name_Hall '-P 4 2'
_cell_length_a 4.766
_cell_length_b 4.766
_cell_length_c 18.956
_cell_angle_alpha 90.00
_cell_angle_beta 90.00
_cell_angle_gamma 90.00
loop_
_atom_site_label
_atom_site_type_symbol
_atom_site_fract_x
_atom_site_fract_y
_atom_site_fract_z
_atom_site_occupancy
Tm1 Tm 0.000 0.000 0.000 1
Tm2 Tm 0.000 0.000 0.247 1
Tm3 Tm 0.000 0.000 0.500 1
Tm4 Tm 0.000 0.500 0.118 1
Tm5 Tm 0.000 0.500 0.374 1
Mn1 Mn 0.500 0.500 0.000 1
In1 In 0.500 0.500 0.248 1
In2 In 0.500 0.500 0.500 1

Record 5
# BaSc2Mn (GGA-PBE, optimized geometry)
# - Total magnetization: 6.02 Bohr magnetons per cell
# - Fermi-level density of states: 1.38 states/eV per atom
# - Energy above the most stable polymorph in this dataset: 0.379 eV per atom
# - DFT total energy: -5.32 eV per atom
data_BaSc2Mn
_chemical_formula_sum 'Ba2 Sc4 Mn2'
_symmetry_space_group_name_H-M 'C m m m'
_symmetry_Int_Tables_number 65
_symmetry_space_group_name_Hall '-C 2 2'
_cell_length_a 6.733
_cell_length_b 8.693
_cell_length_c 3.575
_cell_angle_alpha 90.00
_cell_angle_beta 90.00
_cell_angle_gamma 90.00
loop_
_atom_site_label
_atom_site_type_symbol
_atom_site_fract_x
_atom_site_fract_y
_atom_site_fract_z
_atom_site_occupancy
Ba1 Ba 0.000 0.000 0.000 1
Sc1 Sc 0.250 0.250 0.500 1
Mn1 Mn 0.000 0.500 0.000 1

Record 6
# La2ClF (GGA-PBE, optimized geometry)
# - ΔE_f (raw): -1778 meV per atom
# - Total magnetization: 11.52 Bohr magnetons per cell
# - Fermi-level density of states: 1.49 states/eV per atom
# - Energy above the most stable polymorph in this dataset: 0.139 eV per atom
# - DFT total energy: -5.17 eV per atom
data_La2ClF
_chemical_formula_sum 'La8 Cl4 F4'
_symmetry_space_group_name_H-M 'I -4 2 d'
_symmetry_Int_Tables_number 122
_symmetry_space_group_name_Hall 'I -4 2bw'
_cell_length_a 6.331
_cell_length_b 6.331
_cell_length_c 11.963
_cell_angle_alpha 90.00
_cell_angle_beta 90.00
_cell_angle_gamma 90.00
loop_
_atom_site_label
_atom_site_type_symbol
_atom_site_fract_x
_atom_site_fract_y
_atom_site_fract_z
_atom_site_occupancy
La1 La 0.207 0.250 0.125 1
Cl1 Cl 0.000 0.000 0.500 1
F1 F 0.000 0.000 0.000 1

Record 7
# CaCuTe2 (GGA-PBE, optimized geometry)
# - ΔE_f (raw): -692 meV per atom
# - Total magnetization: 0.00 Bohr magnetons per cell
# - Fermi-level density of states: 0.54 states/eV per atom
# - DFT total energy: -3.79 eV per atom
data_CaCuTe2
_chemical_formula_sum 'Ca2 Cu2 Te4'
_symmetry_space_group_name_H-M 'C 1 m 1'
_symmetry_Int_Tables_number 8
_cell_length_a 11.851
_cell_length_b 4.421
_cell_length_c 4.368
_cell_angle_alpha 90.00
_cell_angle_beta 99.36
_cell_angle_gamma 90.00
loop_
_symmetry_equiv_pos_as_xyz
'x,y,z'
'x,-y,z'
'x+1/2,y+1/2,z'
'x+1/2,-y+1/2,z'
loop_
_atom_site_label
_atom_site_type_symbol
_atom_site_fract_x
_atom_site_fract_y
_atom_site_fract_z
_atom_site_occupancy
Ca1 Ca 0.000 0.000 0.000 1
Cu1 Cu 0.296 0.000 0.892 1
Te1 Te 0.189 0.500 0.914 1
Te2 Te 0.426 0.000 0.455 1

Record 8
# EuCuHg2 (GGA-PBE, optimized geometry)
# - Total magnetization: 29.10 Bohr magnetons per cell
# - Fermi-level density of states: 2.03 states/eV per atom
# - Energy above the most stable polymorph in this dataset: 0.036 eV per atom
# - DFT total energy: -3.91 eV per atom
data_EuCuHg2
_chemical_formula_sum 'Eu4 Cu4 Hg8'
_symmetry_space_group_name_H-M 'F m -3 m'
_symmetry_Int_Tables_number 225
_symmetry_space_group_name_Hall '-F 4 2 3'
_cell_length_a 7.221
_cell_length_b 7.221
_cell_length_c 7.221
_cell_angle_alpha 90.00
_cell_angle_beta 90.00
_cell_angle_gamma 90.00
loop_
_atom_site_label
_atom_site_type_symbol
_atom_site_fract_x
_atom_site_fract_y
_atom_site_fract_z
_atom_site_occupancy
Eu1 Eu 0.000 0.000 0.000 1
Cu1 Cu 0.000 0.000 0.500 1
Hg1 Hg 0.250 0.250 0.250 1